Below is a relaxed IrRh4W crystal, with properties calculated at the PBE level.

```
IrRh4W
1.0
-1.5904 3.0502 -4.5803
-3.0248 -5.0646 -2.2983
-4.7456 1.6023 2.7148
Rh Ir W
8 2 2
direct
0.2476 0.9998 0.5005
0.7524 0.5002 0.9995
0.2476 0.9998 0.9995
0.2476 0.4998 0.4995
0.2476 0.4998 0.0005
0.7524 0.0002 0.4995
0.7524 0.0002 0.0005
0.7524 0.5002 0.5005
0.5000 0.2500 0.2500
0.5000 0.7500 0.7500
0.0000 0.7500 0.2500
0.0000 0.2500 0.7500
```

Total DFT energy (no corrections) = -8.202 eV/atom
Crystal system = monoclinic
Energy relative to the lowest polymorph listed for this composition = 0.274 eV/atom
Energy of formation = 2.011 eV per formula unit